Crystalline Tl6Te2BrCl2 at its relaxed geometry, computed with PBE.

a = 8.2480 Å, b = 8.2480 Å, c = 7.9497 Å
α = 99.73°, β = 99.73°, γ = 121.07°
Last column: nearest neighbours and their distance in Å.
Atoms (fractional coordinates):
Te1 0.6661 0.3339 0.5000  6 Tl 3.19-3.37
Te2 0.3339 0.6661 0.5000  6 Tl 3.19-3.37
Tl1 0.4332 0.0705 0.7506  2 Cl 3.17-3.31, 2 Te 3.19-3.29, 1 Br 3.48
Tl2 0.9295 0.5668 0.2494  2 Cl 3.17-3.31, 2 Te 3.19-3.29, 1 Br 3.48
Tl3 0.5668 0.9295 0.2494  2 Cl 3.17-3.31, 2 Te 3.19-3.29, 1 Br 3.48
Tl4 0.2332 0.2332 0.2512  1 Br 3.17, 2 Cl 3.26, 2 Te 3.37
Tl5 0.7668 0.7668 0.7488  1 Br 3.17, 2 Cl 3.26, 2 Te 3.37
Tl6 0.0705 0.4332 0.7506  2 Cl 3.17-3.31, 2 Te 3.19-3.29, 1 Br 3.48
Cl1 0.8345 0.1655 0.0000  6 Tl 3.17-3.31
Cl2 0.1655 0.8345 0.0000  6 Tl 3.17-3.31
Br1 0.0000 0.0000 0.5000  6 Tl 3.17-3.48

- density (g cm⁻³) = 6.2
- N(E_F) (states/eV/cell) = 7.1
- formation energy (no corrections) (eV/atom) = -0.567
- total DFT energy (no corrections) (eV/atom) = -2.92

***

Crystalline TlTeBr2Cl at its relaxed geometry, computed with PBE.

a = 5.9358 Å, b = 5.9358 Å, c = 5.2914 Å
α = 90.00°, β = 90.00°, γ = 90.00°
Last column: nearest neighbours and their distance in Å.
Atoms (fractional coordinates):
Cl1 0.0000 0.0000 0.5000  2 Te 2.65
Tl1 0.5000 0.5000 0.5000  8 Br 3.98, 4 Cl 4.20
Te1 0.0000 0.0000 0.0000  2 Cl 2.65
Br1 0.0000 0.5000 0.0000  2 Te 2.97
Br2 0.5000 0.0000 0.0000  2 Te 2.97

- density (g cm⁻³) = 4.7
- N(E_F) (states/eV/cell) = 2.7
- formation energy (no corrections) (eV/atom) = -0.415
- total DFT energy (no corrections) (eV/atom) = -2.56

***

Crystalline Tl2TeBr2Cl4 at its relaxed geometry, computed with PBE.

a = 7.5670 Å, b = 7.4933 Å, c = 7.4933 Å
α = 59.00°, β = 60.96°, γ = 60.96°
Last column: nearest neighbours and their distance in Å.
Atoms (fractional coordinates):
Tl1 0.7190 0.2517 0.2517  4 Cl 3.34-3.37, 1 Br 3.45
Tl2 0.2810 0.7483 0.7483  4 Cl 3.34-3.37, 1 Br 3.45
Cl1 0.6936 0.2868 0.7970  1 Te 2.57
Cl2 0.3064 0.7132 0.2030  1 Te 2.57
Cl3 0.6936 0.7970 0.2868  1 Te 2.57
Cl4 0.3064 0.2030 0.7132  1 Te 2.57
Te1 0.5000 0.0000 0.0000  4 Cl 2.57, 2 Br 2.74
Br1 0.8203 0.7538 0.7538  1 Te 2.74
Br2 0.1797 0.2462 0.2462  1 Te 2.74

- density (g cm⁻³) = 4.6
- N(E_F) (states/eV/cell) = 0.0
- formation energy (no corrections) (eV/atom) = -0.750
- total DFT energy (no corrections) (eV/atom) = -2.82

***

Crystalline ThBr2Cl at its relaxed geometry, computed with PBE.

a = 3.6523 Å, b = 5.5700 Å, c = 8.3890 Å
α = 109.31°, β = 90.00°, γ = 109.14°
Last column: nearest neighbours and their distance in Å.
Atoms (fractional coordinates):
Br1 0.7543 0.5086 0.3426  2 Th 2.94
Br2 0.9120 0.8239 0.9075  2 Th 2.94
Cl1 0.5597 0.1195 0.6249  3 Th 2.90-3.01
Th1 0.2740 0.5479 0.6250  3 Cl 2.90-3.01, 4 Br 2.94

- density (g cm⁻³) = 4.7
- N(E_F) (states/eV/cell) = 1.4
- formation energy (no corrections) (eV/atom) = -1.696
- total DFT energy (no corrections) (eV/atom) = -4.85

***

Crystalline ThBrCl2 at its relaxed geometry, computed with PBE.

a = 3.6118 Å, b = 5.9707 Å, c = 7.3791 Å
α = 113.36°, β = 90.00°, γ = 107.61°
Last column: nearest neighbours and their distance in Å.
Atoms (fractional coordinates):
Br1 0.5615 0.1231 0.6248  3 Th 2.99-3.31
Cl1 0.7537 0.5074 0.3265  2 Th 2.79
Cl2 0.9141 0.8282 0.9239  2 Th 2.79
Th1 0.2707 0.5413 0.6248  4 Cl 2.79, 2 Br 2.99

- density (g cm⁻³) = 4.6
- N(E_F) (states/eV/cell) = 1.3
- formation energy (no corrections) (eV/atom) = -1.811
- total DFT energy (no corrections) (eV/atom) = -5.01

***

Crystalline ThBr3Cl at its relaxed geometry, computed with PBE.

a = 7.8316 Å, b = 7.8316 Å, c = 8.9891 Å
α = 64.18°, β = 64.18°, γ = 60.00°
Last column: nearest neighbours and their distance in Å.
Atoms (fractional coordinates):
Br1 0.1260 0.3874 0.6659  2 Th 2.97-2.98
Br2 0.8206 0.1260 0.6659  2 Th 2.97-2.98
Br3 0.3874 0.8206 0.6659  2 Th 2.97-2.98
Br4 0.1794 0.8740 0.3341  2 Th 2.97-2.98
Br5 0.6126 0.1794 0.3341  2 Th 2.97-2.98
Br6 0.8740 0.6126 0.3341  2 Th 2.97-2.98
Th1 0.1968 0.1968 0.4096  1 Cl 2.56
Th2 0.8032 0.8032 0.5904  1 Cl 2.56
Cl1 0.6933 0.6933 0.9201  1 Th 2.56
Cl2 0.3067 0.3067 0.0799  1 Th 2.56

- density (g cm⁻³) = 4.1
- N(E_F) (states/eV/cell) = 0.0
- formation energy (no corrections) (eV/atom) = -1.810
- total DFT energy (no corrections) (eV/atom) = -4.67

***

Crystalline ThBr2Cl6 at its relaxed geometry, computed with PBE.

a = 7.5663 Å, b = 7.1922 Å, c = 7.5838 Å
α = 61.69°, β = 93.91°, γ = 98.27°
Last column: nearest neighbours and their distance in Å.
Atoms (fractional coordinates):
Br1 0.5000 0.8495 0.3010  2 Cl 2.42
Br2 0.5000 0.1505 0.6990  2 Cl 2.42
Cl1 0.7963 0.6808 0.0000  1 Th 2.57
Cl2 0.8068 0.3027 0.6972  1 Br 2.42
Cl3 0.1932 0.6973 0.3028  1 Br 2.42
Cl4 0.1932 0.0001 0.6972  1 Br 2.42
Cl5 0.2037 0.3192 0.0000  1 Th 2.57
Cl6 0.8068 0.9999 0.3028  1 Br 2.42
Th1 0.0000 0.0000 0.0000  6 Cl 2.57-2.80

- density (g cm⁻³) = 2.8
- N(E_F) (states/eV/cell) = 0.0
- formation energy (no corrections) (eV/atom) = -1.143
- total DFT energy (no corrections) (eV/atom) = -3.57

***

Crystalline Th2Br4Cl at its relaxed geometry, computed with PBE.

a = 3.6386 Å, b = 10.3434 Å, c = 10.3434 Å
α = 90.00°, β = 90.00°, γ = 90.00°
Last column: nearest neighbours and their distance in Å.
Atoms (fractional coordinates):
Cl1 0.0000 0.5000 0.5000  4 Th 3.06
Cl2 0.5000 0.0000 0.0000  4 Th 3.06
Br1 0.0000 0.3139 0.0894  3 Th 3.06-3.10, 1 Br 3.28
Br2 0.0000 0.0894 0.3139  3 Th 3.06-3.10, 1 Br 3.28
Br3 0.0000 0.6861 0.9106  3 Th 3.06-3.10, 1 Br 3.28
Br4 0.0000 0.9106 0.6861  3 Th 3.06-3.10, 1 Br 3.28
Br5 0.5000 0.1861 0.5894  3 Th 3.06-3.10, 1 Br 3.28
Br6 0.5000 0.5894 0.1861  3 Th 3.06-3.10, 1 Br 3.28
Br7 0.5000 0.4106 0.8139  3 Th 3.06-3.10, 1 Br 3.28
Br8 0.5000 0.8139 0.4106  3 Th 3.06-3.10, 1 Br 3.28
Th1 0.5000 0.3317 0.3317  2 Cl 3.06, 6 Br 3.06-3.10
Th2 0.5000 0.6683 0.6683  2 Cl 3.06, 6 Br 3.06-3.10
Th3 0.0000 0.1683 0.8317  2 Cl 3.06, 6 Br 3.06-3.10
Th4 0.0000 0.8317 0.1683  2 Cl 3.06, 6 Br 3.06-3.10

- density (g cm⁻³) = 7.0
- N(E_F) (states/eV/cell) = 8.0
- formation energy (no corrections) (eV/atom) = -1.381
- total DFT energy (no corrections) (eV/atom) = -4.72

***

Crystalline ThBrCl at its relaxed geometry, computed with PBE.

a = 3.6658 Å, b = 3.6658 Å, c = 16.7548 Å
α = 92.57°, β = 93.71°, γ = 120.00°
Last column: nearest neighbours and their distance in Å.
Atoms (fractional coordinates):
Cl1 0.0652 0.9468 0.0120  3 Th 2.90-2.91
Cl2 0.9309 0.8299 0.7608  3 Th 2.90-2.91
Br1 0.1321 0.3794 0.5116  3 Th 3.02
Br2 0.5307 0.7305 0.2612  3 Th 3.02
Th1 0.5342 0.1072 0.6413  3 Cl 2.90-2.91, 3 Br 3.02
Th2 0.7952 0.3364 0.1315  3 Cl 2.90-2.91, 3 Br 3.02

- density (g cm⁻³) = 6.0
- N(E_F) (states/eV/cell) = 2.2
- formation energy (no corrections) (eV/atom) = -1.614
- total DFT energy (no corrections) (eV/atom) = -5.26

***

Crystalline ThBrCl at its relaxed geometry, computed with PBE.

a = 3.6744 Å, b = 6.3224 Å, c = 8.2818 Å
α = 91.92°, β = 90.00°, γ = 90.00°
Last column: nearest neighbours and their distance in Å.
Atoms (fractional coordinates):
Th1 0.7500 0.7521 0.5000  3 Cl 2.89-2.90, 3 Br 3.03-3.04
Th2 0.2500 0.2479 0.5000  3 Cl 2.89-2.90, 3 Br 3.03-3.04
Cl1 0.7500 0.0948 0.7404  3 Th 2.89-2.90
Cl2 0.2500 0.9052 0.2596  3 Th 2.89-2.90
Br1 0.7500 0.4046 0.2381  3 Th 3.03-3.04
Br2 0.2500 0.5954 0.7619  3 Th 3.03-3.04

- density (g cm⁻³) = 6.0
- N(E_F) (states/eV/cell) = 3.1
- formation energy (no corrections) (eV/atom) = -1.616
- total DFT energy (no corrections) (eV/atom) = -5.26

***

Crystalline ThBr3Cl at its relaxed geometry, computed with PBE.

a = 5.8506 Å, b = 8.2232 Å, c = 9.1275 Å
α = 90.00°, β = 90.00°, γ = 110.84°
Last column: nearest neighbours and their distance in Å.
Atoms (fractional coordinates):
Cl1 0.2777 0.5554 0.7500  1 Th 2.56
Cl2 0.7223 0.4446 0.2500  1 Th 2.56
Br1 0.3943 0.7886 0.0647  2 Th 2.97-3.00
Br2 0.9557 0.9114 0.7500  2 Th 2.93
Br3 0.0443 0.0886 0.2500  2 Th 2.93
Br4 0.6057 0.2114 0.5647  2 Th 2.97-3.00
Br5 0.6057 0.2114 0.9353  2 Th 2.97-3.00
Br6 0.3943 0.7886 0.4353  2 Th 2.97-3.00
Th1 0.4443 0.8887 0.7500  1 Cl 2.56
Th2 0.5557 0.1113 0.2500  1 Cl 2.56

- density (g cm⁻³) = 4.1
- N(E_F) (states/eV/cell) = 0.0
- formation energy (no corrections) (eV/atom) = -1.779
- total DFT energy (no corrections) (eV/atom) = -4.64

***

Crystalline ThBr2Cl2 at its relaxed geometry, computed with PBE.

a = 4.4733 Å, b = 6.7393 Å, c = 6.7393 Å
α = 97.14°, β = 89.76°, γ = 89.76°
Last column: nearest neighbours and their distance in Å.
Atoms (fractional coordinates):
Br1 0.4972 0.2154 0.2154  2 Th 2.95
Br2 0.5028 0.7846 0.7846  2 Th 2.95
Th1 0.0000 0.0000 0.0000  2 Cl 2.58
Cl1 0.0000 0.2551 0.7449  1 Th 2.58
Cl2 0.0000 0.7449 0.2551  1 Th 2.58

- density (g cm⁻³) = 3.8
- N(E_F) (states/eV/cell) = 0.0
- formation energy (no corrections) (eV/atom) = -1.875
- total DFT energy (no corrections) (eV/atom) = -4.77

***

> What is the formula in the third record?

Tl2TeBr2Cl4

***

> What is the N(E_F) in the twelfth record?

0.0 states/eV/cell